No. 1
TlCu4Pd15 after structural relaxation. Source: Alexandria via LeMat-Bulk, functional PBE.

Output
**Space group**: No. 123
**Energy of formation from the pure elements**: -80 meV per atom

a = 3.9249 Å, b = 3.9249 Å, c = 19.6774 Å
α = 90.00°, β = 90.00°, γ = 90.00°
With the nearest neighbours (Å) after each atom.
Element x y z (fractional)
1 Tl 0.0000 0.0000 0.0000  12 Pd 2.78-2.92
2 Cu 0.0000 0.0000 0.2074  12 Pd 2.74-2.78
3 Cu 0.0000 0.0000 0.4026  12 Pd 2.74-2.78
4 Cu 0.0000 0.0000 0.5974  12 Pd 2.74-2.78
5 Cu 0.0000 0.0000 0.7926  12 Pd 2.74-2.78
6 Pd 0.0000 0.5000 0.1099  2 Cu 2.74, 8 Pd 2.75-2.92, 2 Tl 2.92
7 Pd 0.0000 0.5000 0.3053  4 Cu 2.74-2.75, 8 Pd 2.74-2.78
8 Pd 0.0000 0.5000 0.5000  8 Pd 2.74-2.78, 4 Cu 2.74
9 Pd 0.0000 0.5000 0.6947  4 Cu 2.74-2.75, 8 Pd 2.74-2.78
10 Pd 0.0000 0.5000 0.8901  2 Cu 2.74, 8 Pd 2.75-2.92, 2 Tl 2.92
11 Pd 0.5000 0.0000 0.1099  2 Cu 2.74, 8 Pd 2.75-2.92, 2 Tl 2.92
12 Pd 0.5000 0.0000 0.3053  4 Cu 2.74-2.75, 8 Pd 2.74-2.78
13 Pd 0.5000 0.0000 0.5000  8 Pd 2.74-2.78, 4 Cu 2.74
14 Pd 0.5000 0.0000 0.6947  4 Cu 2.74-2.75, 8 Pd 2.74-2.78
15 Pd 0.5000 0.0000 0.8901  2 Cu 2.74, 8 Pd 2.75-2.92, 2 Tl 2.92
16 Pd 0.5000 0.5000 0.0000  4 Tl 2.78, 8 Pd 2.92
17 Pd 0.5000 0.5000 0.2080  8 Pd 2.74-2.75, 4 Cu 2.78
18 Pd 0.5000 0.5000 0.4028  8 Pd 2.74, 4 Cu 2.78
19 Pd 0.5000 0.5000 0.5972  8 Pd 2.74, 4 Cu 2.78
20 Pd 0.5000 0.5000 0.7920  8 Pd 2.74-2.75, 4 Cu 2.78

No. 2
TiAl2CrSn after structural relaxation. Source: Alexandria via LeMat-Bulk, functional PBE.

Output
**Space group**: No. 123
**Energy of formation from the pure elements**: 389 meV per atom

a = 4.8216 Å, b = 4.8216 Å, c = 4.3005 Å
α = 90.00°, β = 90.00°, γ = 90.00°
With the nearest neighbours (Å) after each atom.
Element x y z (fractional)
1 Ti 0.0000 0.0000 0.0000  2 Cr 2.15
2 Al 0.0000 0.5000 0.5000  2 Cr 2.41
3 Al 0.5000 0.0000 0.5000  2 Cr 2.41
4 Cr 0.0000 0.0000 0.5000  2 Ti 2.15
5 Sn 0.5000 0.5000 0.0000  8 Al 3.23, 4 Ti 3.41

No. 3
OsW2 after structural relaxation. Source: Alexandria via LeMat-Bulk, functional PBE.

Output
**Space group**: No. 63
**Energy of formation from the pure elements**: 252 meV per atom

a = 2.7166 Å, b = 15.0433 Å, c = 4.6128 Å
α = 90.00°, β = 90.00°, γ = 90.00°
With the nearest neighbours (Å) after each atom.
Element x y z (fractional)
1 Os 0.0000 0.2213 0.2500  6 W 2.71-2.87, 6 Os 2.72-2.81
2 Os 0.0000 0.7787 0.7500  6 W 2.71-2.87, 6 Os 2.72-2.81
3 Os 0.5000 0.2787 0.7500  6 W 2.71-2.87, 6 Os 2.72-2.81
4 Os 0.5000 0.7213 0.2500  6 W 2.71-2.87, 6 Os 2.72-2.81
5 W 0.0000 0.1226 0.7500  4 Os 2.71-2.74, 8 W 2.72-2.98
6 W 0.0000 0.4464 0.7500  10 W 2.72-2.98, 2 Os 2.87
7 W 0.0000 0.5536 0.2500  10 W 2.72-2.98, 2 Os 2.87
8 W 0.0000 0.8774 0.2500  4 Os 2.71-2.74, 8 W 2.72-2.98
9 W 0.5000 0.0536 0.2500  10 W 2.72-2.98, 2 Os 2.87
10 W 0.5000 0.3774 0.2500  4 Os 2.71-2.74, 8 W 2.72-2.98
11 W 0.5000 0.6226 0.7500  4 Os 2.71-2.74, 8 W 2.72-2.98
12 W 0.5000 0.9464 0.7500  10 W 2.72-2.98, 2 Os 2.87

No. 4
BaLiTlPd after structural relaxation. Source: Alexandria via LeMat-Bulk, functional PBE.

Output
**Space group**: No. 8
**Energy of formation from the pure elements**: -396 meV per atom

a = 8.3793 Å, b = 4.8310 Å, c = 6.2491 Å
α = 90.00°, β = 117.22°, γ = 90.00°
With the nearest neighbours (Å) after each atom.
Element x y z (fractional)
1 Ba 0.0000 0.0000 0.0000  1 Li 3.13, 1 Pd 3.23
2 Ba 0.5000 0.5000 0.0000  1 Li 3.13, 1 Pd 3.23
3 Li 0.1871 0.0000 0.5634  3 Tl 2.84-2.86, 3 Pd 2.90-2.91, 1 Ba 3.13
4 Li 0.6871 0.5000 0.5634  3 Tl 2.84-2.86, 3 Pd 2.90-2.91, 1 Ba 3.13
5 Tl 0.4864 0.0000 0.4615  3 Pd 2.80, 3 Li 2.84-2.86
6 Tl 0.9864 0.5000 0.4615  3 Pd 2.80, 3 Li 2.84-2.86
7 Pd 0.3051 0.5000 0.4191  3 Tl 2.80, 3 Li 2.90-2.91
8 Pd 0.8051 0.0000 0.4191  3 Tl 2.80, 3 Li 2.90-2.91

No. 5
SrMn2Br after structural relaxation. Source: Alexandria via LeMat-Bulk, functional PBE.

Output
**Space group**: No. 225
**Formation energy (no corrections)**: 718 meV/atom

a = 7.6111 Å, b = 7.6111 Å, c = 7.6111 Å
α = 90.00°, β = 90.00°, γ = 90.00°
With the nearest neighbours (Å) after each atom.
Element x y z (fractional)
1 Sr 0.0000 0.0000 0.0000  8 Mn 3.30
2 Sr 0.0000 0.5000 0.5000  8 Mn 3.30
3 Sr 0.5000 0.0000 0.5000  8 Mn 3.30
4 Sr 0.5000 0.5000 0.0000  8 Mn 3.30
5 Mn 0.2500 0.2500 0.2500  4 Br 3.30, 4 Sr 3.30
6 Mn 0.2500 0.2500 0.7500  4 Br 3.30, 4 Sr 3.30
7 Mn 0.2500 0.7500 0.2500  4 Br 3.30, 4 Sr 3.30
8 Mn 0.2500 0.7500 0.7500  4 Br 3.30, 4 Sr 3.30
9 Mn 0.7500 0.2500 0.2500  4 Br 3.30, 4 Sr 3.30
10 Mn 0.7500 0.2500 0.7500  4 Br 3.30, 4 Sr 3.30
11 Mn 0.7500 0.7500 0.2500  4 Br 3.30, 4 Sr 3.30
12 Mn 0.7500 0.7500 0.7500  4 Sr 3.30, 4 Br 3.30
13 Br 0.0000 0.0000 0.5000  8 Mn 3.30
14 Br 0.0000 0.5000 0.0000  8 Mn 3.30
15 Br 0.5000 0.0000 0.0000  8 Mn 3.30
16 Br 0.5000 0.5000 0.5000  8 Mn 3.30

No. 6
LaTcHg after structural relaxation. Source: Alexandria via LeMat-Bulk, functional PBE.

Output
**Space group**: No. 216
**Energy of formation from the pure elements**: 407 meV per atom

a = 6.7696 Å, b = 6.7696 Å, c = 6.7696 Å
α = 90.00°, β = 90.00°, γ = 90.00°
With the nearest neighbours (Å) after each atom.
Element x y z (fractional)
1 La 0.0000 0.0000 0.0000  4 Tc 2.93
2 La 0.0000 0.5000 0.5000  4 Tc 2.93
3 La 0.5000 0.0000 0.5000  4 Tc 2.93
4 La 0.5000 0.5000 0.0000  4 Tc 2.93
5 Tc 0.2500 0.2500 0.7500  4 Hg 2.93, 4 La 2.93
6 Tc 0.2500 0.7500 0.2500  4 Hg 2.93, 4 La 2.93
7 Tc 0.7500 0.2500 0.2500  4 Hg 2.93, 4 La 2.93
8 Tc 0.7500 0.7500 0.7500  4 Hg 2.93, 4 La 2.93
9 Hg 0.0000 0.0000 0.5000  4 Tc 2.93
10 Hg 0.0000 0.5000 0.0000  4 Tc 2.93
11 Hg 0.5000 0.0000 0.0000  4 Tc 2.93
12 Hg 0.5000 0.5000 0.5000  4 Tc 2.93

No. 7
LaPrGeO after structural relaxation. Source: Alexandria via LeMat-Bulk, functional PBE.

Output
**Space group**: No. 129
**Formation energy (no corrections)**: -1805 meV/atom

a = 4.6310 Å, b = 4.6310 Å, c = 9.0316 Å
α = 90.00°, β = 90.00°, γ = 90.00°
With the nearest neighbours (Å) after each atom.
Element x y z (fractional)
1 La 0.2500 0.7500 0.0000  4 O 2.45
2 La 0.7500 0.2500 0.0000  4 O 2.45
3 Pr 0.2500 0.2500 0.3519  1 O 2.38
4 Pr 0.7500 0.7500 0.6481  1 O 2.38
5 Ge 0.2500 0.2500 0.7022  5 Pr 3.16-3.31, 1 O 3.49
6 Ge 0.7500 0.7500 0.2978  5 Pr 3.16-3.31, 1 O 3.49
7 O 0.2500 0.2500 0.0886  1 Pr 2.38, 4 La 2.45
8 O 0.7500 0.7500 0.9114  1 Pr 2.38, 4 La 2.45

No. 8
HfP after structural relaxation. Source: Alexandria via LeMat-Bulk, functional PBE.

Output
**Space group**: No. 194
**Energy of formation from the pure elements**: -1220 meV per atom

a = 3.6544 Å, b = 3.6544 Å, c = 6.3919 Å
α = 90.00°, β = 90.00°, γ = 120.00°
With the nearest neighbours (Å) after each atom.
Element x y z (fractional)
1 Hf 0.0000 0.0000 0.0000  6 P 2.65
2 Hf 0.0000 0.0000 0.5000  6 P 2.65
3 P 0.3333 0.6667 0.2500  6 Hf 2.65
4 P 0.6667 0.3333 0.7500  6 Hf 2.65

No. 9
Hf5CdN after structural relaxation. Source: Alexandria via LeMat-Bulk, functional PBE.

Output
**Space group**: No. 123
**Formation energy (no corrections)**: -14 meV/atom

a = 4.1755 Å, b = 4.1755 Å, c = 7.5177 Å
α = 90.00°, β = 90.00°, γ = 90.00°
With the nearest neighbours (Å) after each atom.
Element x y z (fractional)
1 Hf 0.0000 0.0000 0.0000  4 Cd 2.95, 8 Hf 3.12
2 Hf 0.0000 0.5000 0.3092  2 N 2.53
3 Hf 0.0000 0.5000 0.6908  2 N 2.53
4 Hf 0.5000 0.0000 0.3092  2 N 2.53
5 Hf 0.5000 0.0000 0.6908  2 N 2.53
6 Cd 0.5000 0.5000 0.0000  12 Hf 2.95-3.12
7 N 0.5000 0.5000 0.5000  8 Hf 2.53

No. 10
Cs5Ge2Te5 after structural relaxation. Source: Alexandria via LeMat-Bulk, functional PBE.

Output
**Space group**: No. 12
**Formation energy (no corrections)**: -713 meV/atom

a = 8.7229 Å, b = 8.7229 Å, c = 13.1577 Å
α = 99.58°, β = 99.58°, γ = 34.51°
With the nearest neighbours (Å) after each atom.
Element x y z (fractional)
1 Cs 0.0000 0.0000 0.0000  6 Te 3.87-3.96
2 Cs 0.1507 0.1507 0.5967  3 Te 3.68-4.07, 1 Cs 3.93
3 Cs 0.2833 0.2833 0.8751  5 Te 3.89-3.90, 1 Cs 3.93, 1 Ge 4.10
4 Cs 0.7167 0.7167 0.1249  5 Te 3.89-3.90, 1 Cs 3.93, 1 Ge 4.10
5 Cs 0.8493 0.8493 0.4033  3 Te 3.68-4.07, 1 Cs 3.93
6 Ge 0.4638 0.4638 0.6995  4 Te 2.72-2.93
7 Ge 0.5362 0.5362 0.3005  4 Te 2.72-2.93
8 Te 0.1144 0.1144 0.2825  2 Ge 2.93
9 Te 0.3940 0.3940 0.1621  1 Ge 2.72
10 Te 0.5000 0.5000 0.5000  2 Ge 2.79
11 Te 0.6060 0.6060 0.8379  1 Ge 2.72
12 Te 0.8856 0.8856 0.7175  2 Ge 2.93

Number 1: raw total energy -98.3 eV per cell. Number 2: raw total energy -27.1 eV per cell. Number 3: raw total energy -145.5 eV per cell. Number 4: raw total energy -26.0 eV per cell. Number 5: raw total energy -75.3 eV per cell. Number 6: raw total energy -57.5 eV per cell. Number 7: raw total energy -53.0 eV per cell. Number 8: raw total energy -35.6 eV per cell. Number 9: raw total energy -59.1 eV per cell. Number 10: raw total energy -37.8 eV per cell.